# 1
Density functional theory data (GGA-PBE) for a relaxed LiTb2Ce crystal.

Cell lengths 3.4265, 3.4265, 12.1335 Å; angles 81.88, 81.88, 60.00 degrees
Element x y z (fractional)
Li 0.0000 0.0000 0.0000
Tb 0.9107 0.9107 0.2680
Tb 0.0893 0.0893 0.7320
Ce 0.5000 0.5000 0.5000

Computed properties:
Its total energy is -16.338 eV/cell. For the spin magnetization, the calculation gives 0.34 Bohr magnetons per cell. The value obtained for the calculated density is 6.34 g cm⁻³. As for the crystal system: trigonal. As for the polymorph energy (0 for the lowest one): 0.36 eV/f.u.

# 2
Density functional theory data (GGA-PBE) for a relaxed Dy2Zn3Ag2 crystal.

Cell lengths 4.5798, 5.4775, 6.6642 Å; angles 109.71, 90.00, 114.71 degrees
Element x y z (fractional)
Zn 0.5000 0.0000 0.0000
Zn 0.5976 0.1952 0.4209
Zn 0.4024 0.8048 0.5791
Dy 0.8492 0.6983 0.2391
Dy 0.1508 0.3017 0.7609
Ag 0.8550 0.7100 0.7757
Ag 0.1450 0.2900 0.2243

Computed properties:
Its total energy is -20.817 eV/cell. For the spin magnetization, the calculation gives 0.00 Bohr magnetons per cell. The value obtained for the calculated density is 8.68 g cm⁻³. As for the crystal system: monoclinic.

# 3
Density functional theory data (GGA-PBE) for a relaxed CuAu crystal.

Cell lengths 4.3944, 4.3944, 5.1186 Å; angles 90.00, 90.00, 120.00 degrees
Element x y z (fractional)
Au 0.6667 0.3333 0.2500
Au 0.3333 0.6667 0.7500
Cu 0.3333 0.6667 0.2500
Cu 0.6667 0.3333 0.7500

Computed properties:
Its total energy is -12.920 eV/cell. For the spin magnetization, the calculation gives 0.00 Bohr magnetons per cell. The value obtained for the calculated density is 10.11 g cm⁻³. As for the crystal system: hexagonal.

> calculated density of number 2 (Dy2Zn3Ag2)?

8.68 g cm⁻³